1.
The following is a DFT calculation (GGA-PBE) of crystalline YBe2Mo2 at its relaxed geometry.

Calculated values
Energy relative to the lowest polymorph listed for this composition: 20.9 kJ per mole of atoms
Space group: P4/mbm (127)
Energy of formation from the pure elements: 212 meV/atom

Cell: 6.715 6.715 3.282 Å, 90.00 90.00 90.00°
Fractional positions:
1 Be 0.610 0.110 0.000
2 Be 0.110 0.390 0.000
3 Be 0.390 0.890 0.000
4 Be 0.890 0.610 0.000
5 Mo 0.332 0.168 0.500
6 Mo 0.832 0.332 0.500
7 Mo 0.168 0.668 0.500
8 Mo 0.668 0.832 0.500
9 Y 0.000 0.000 0.000
10 Y 0.500 0.500 0.000

***

2.
The following is a DFT calculation (GGA-PBE) of crystalline Y2BeMo at its relaxed geometry.

Calculated values
Space group: Imm2 (44)
Energy of formation from the pure elements: 233 meV/atom

Cell: 5.785 5.785 4.608 Å, 66.54 66.54 36.90°
Fractional positions:
1 Y 0.993 0.993 0.007
2 Y 0.777 0.777 0.723
3 Mo 0.191 0.191 0.309
4 Be 0.540 0.540 0.461

***

3.
The following is a DFT calculation (GGA-PBE) of crystalline Y2BeMo at its relaxed geometry.

Calculated values
Space group: I-42d (122)
Energy of formation from the pure elements: 998 meV/atom

Cell: 4.201 4.201 10.277 Å, 78.21 78.21 90.00°
Fractional positions:
1 Y 0.875 0.877 0.750
2 Y 0.375 0.373 0.750
3 Y 0.123 0.625 0.250
4 Y 0.627 0.125 0.250
5 Mo 0.750 0.250 0.500
6 Mo 0.000 0.000 0.000
7 Be 0.500 0.500 0.000
8 Be 0.250 0.750 0.500

***

4.
The following is a DFT calculation (GGA-PBE) of crystalline Y4BeMo at its relaxed geometry.

Calculated values
Space group: F-43m (216)
Energy of formation from the pure elements: 1099 meV/atom

Cell: 6.017 6.017 6.017 Å, 60.00 60.00 60.00°
Fractional positions:
1 Mo 0.000 0.000 0.000
2 Be 0.750 0.750 0.750
3 Y 0.374 0.374 0.374
4 Y 0.374 0.374 0.878
5 Y 0.878 0.374 0.374
6 Y 0.374 0.878 0.374

***

5.
The following is a DFT calculation (GGA-PBE) of crystalline YBe4Mo at its relaxed geometry.

Calculated values
Space group: F-43m (216)
Energy of formation from the pure elements: 89 meV/atom

Cell: 4.772 4.772 4.772 Å, 60.00 60.00 60.00°
Site moments in Bohr magnetons follow the coordinates.
Fractional positions:
1 Be 0.860 0.380 0.380  0.02
2 Be 0.380 0.380 0.380  0.02
3 Be 0.380 0.860 0.380  0.02
4 Be 0.380 0.380 0.860  0.02
5 Y 0.000 0.000 0.000  0.34
6 Mo 0.750 0.750 0.750  1.26

***

6.
The following is a DFT calculation (GGA-PBE) of crystalline Y2BeMo at its relaxed geometry.

Calculated values
Space group: P4/mmm (123)
Energy of formation from the pure elements: 385 meV/atom

Cell: 4.824 4.824 3.623 Å, 89.96 89.96 90.02°
Site moments in Bohr magnetons follow the coordinates.
Fractional positions:
1 Y 0.000 0.000 0.000  0.04
2 Y 0.500 0.500 0.000  0.04
3 Be 0.500 0.000 0.500  0.00
4 Mo 0.000 0.500 0.500  0.78

***

7.
The following is a DFT calculation (GGA-PBE) of crystalline Y2BeMo at its relaxed geometry.

Calculated values
Space group: P4mm (99)
Energy of formation from the pure elements: 182 meV/atom

Cell: 3.346 3.346 7.782 Å, 90.00 90.00 90.00°
Fractional positions:
1 Be 0.000 0.000 0.571
2 Y 0.000 0.000 0.928
3 Y 0.500 0.500 0.328
4 Mo 0.500 0.500 0.673

***

8.
The following is a DFT calculation (GGA-PBE) of crystalline Y2BeMo at its relaxed geometry.

Calculated values
Space group: Amm2 (38)
Energy of formation from the pure elements: 171 meV/atom

Cell: 4.070 4.059 5.718 Å, 69.21 90.00 90.00°
Fractional positions:
1 Be 0.000 0.682 0.511
2 Y 0.500 0.268 0.338
3 Y 0.000 0.981 0.912
4 Mo 0.500 0.568 0.738

***

9.
The following is a DFT calculation (GGA-PBE) of crystalline Be17ZnMo at its relaxed geometry.

Calculated values
Space group: R3m (160)
Energy of formation from the pure elements: -56 meV/atom

Cell: 5.555 5.555 5.555 Å, 81.90 81.90 81.90°
Fractional positions:
1 Be 0.156 0.659 0.659
2 Be 0.343 0.343 0.835
3 Be 0.835 0.343 0.343
4 Be 0.097 0.097 0.097
5 Be 0.896 0.896 0.896
6 Be 0.659 0.156 0.659
7 Be 0.002 0.302 0.689
8 Be 0.302 0.689 0.002
9 Be 0.986 0.501 0.986
10 Be 0.659 0.659 0.156
11 Be 0.689 0.302 0.002
12 Be 0.002 0.689 0.302
13 Be 0.302 0.002 0.689
14 Be 0.689 0.002 0.302
15 Be 0.986 0.986 0.501
16 Be 0.501 0.986 0.986
17 Be 0.343 0.835 0.343
18 Zn 0.387 0.387 0.387
19 Mo 0.666 0.666 0.666

***

10.
The following is a DFT calculation (GGA-PBE) of crystalline BeZn4Mo at its relaxed geometry.

Calculated values
Space group: F-43m (216)
Energy of formation from the pure elements: 416 meV/atom

Cell: 4.946 4.946 4.946 Å, 60.00 60.00 60.00°
Site moments in Bohr magnetons follow the coordinates.
Fractional positions:
1 Mo 0.000 0.000 0.000  1.46
2 Be 0.250 0.250 0.250  0.02
3 Zn 0.625 0.625 0.625  0.01
4 Zn 0.625 0.625 0.124  0.01
5 Zn 0.124 0.625 0.625  0.01
6 Zn 0.625 0.124 0.625  0.01

***

11.
The following is a DFT calculation (GGA-PBE) of crystalline Be4ZnMo at its relaxed geometry.

Calculated values
Space group: F-43m (216)
Energy of formation from the pure elements: 53 meV/atom

Cell: 4.432 4.432 4.432 Å, 60.00 60.00 60.00°
Fractional positions:
1 Be 0.378 0.865 0.378
2 Be 0.865 0.378 0.378
3 Be 0.378 0.378 0.865
4 Be 0.378 0.378 0.378
5 Mo 0.750 0.750 0.750
6 Zn 0.000 0.000 0.000

***

12.
The following is a DFT calculation (GGA-PBE) of crystalline Be2ZnMo at its relaxed geometry.

Calculated values
Space group: C2/m (12)
Energy of formation from the pure elements: 235 meV/atom

Cell: 4.425 4.425 4.753 Å, 77.42 77.42 34.07°
Fractional positions:
1 Zn 0.250 0.250 0.250
2 Be 0.993 0.993 0.951
3 Be 0.507 0.507 0.549
4 Mo 0.750 0.750 0.750

***

13.
The following is a DFT calculation (GGA-PBE) of crystalline Be2ZnMo at its relaxed geometry.

Calculated values
Space group: P4/mmm (123)
Energy of formation from the pure elements: -89 meV/atom

Cell: 6.220 3.685 3.406 Å, 89.95 56.87 126.26°
Fractional positions:
1 Be 0.000 0.000 0.000
2 Be 0.500 0.000 0.500
3 Mo 0.000 0.500 0.500
4 Zn 0.500 0.500 0.000

***

14.
The following is a DFT calculation (GGA-PBE) of crystalline Be2ZnMo at its relaxed geometry.

Calculated values
Space group: Immm (71)
Energy of formation from the pure elements: 285 meV/atom

Cell: 4.848 4.848 4.848 Å, 147.46 126.06 64.43°
Fractional positions:
1 Mo 0.750 0.250 0.500
2 Be 0.489 0.489 0.000
3 Be 0.011 0.011 0.000
4 Zn 0.250 0.750 0.500

***

15.
The following is a DFT calculation (GGA-PBE) of crystalline Be2ZnMo2 at its relaxed geometry.

Calculated values
Space group: P4/mbm (127)
Energy of formation from the pure elements: -21 meV/atom

Cell: 6.001 6.001 3.352 Å, 90.00 90.00 90.00°
Fractional positions:
1 Be 0.382 0.882 0.000
2 Be 0.618 0.118 0.000
3 Be 0.118 0.382 0.000
4 Be 0.882 0.618 0.000
5 Mo 0.177 0.677 0.500
6 Mo 0.323 0.177 0.500
7 Mo 0.823 0.323 0.500
8 Mo 0.677 0.823 0.500
9 Zn 0.000 0.000 0.000
10 Zn 0.500 0.500 0.000

***

16.
The following is a DFT calculation (GGA-PBE) of crystalline BeZn3Mo at its relaxed geometry.

Calculated values
Energy relative to the lowest polymorph listed for this composition: 78.2 kJ per mole of atoms
Space group: Pm-3m (221)
Energy of formation from the pure elements: 1485 meV/atom

Cell: 4.849 4.849 4.849 Å, 90.00 90.00 90.00°
Fractional positions:
1 Mo 0.000 0.000 0.000
2 Zn 0.000 0.000 0.500
3 Zn 0.500 0.000 0.000
4 Zn 0.000 0.500 0.000
5 Be 0.500 0.500 0.500

***

17.
The following is a DFT calculation (GGA-PBE) of crystalline Be2ZnMo at its relaxed geometry.

Calculated values
Space group: P2/m (10)
Energy of formation from the pure elements: 143 meV/atom

Cell: 3.660 2.652 5.187 Å, 78.04 90.00 90.00°
Fractional positions:
1 Zn 0.500 0.750 0.750
2 Be 0.000 0.863 0.027
3 Be 0.000 0.637 0.473
4 Mo 0.500 0.250 0.250

***

18.
The following is a DFT calculation (GGA-PBE) of crystalline Be2ZnMo at its relaxed geometry.

Calculated values
Space group: Amm2 (38)
Energy of formation from the pure elements: 81 meV/atom

Cell: 3.727 2.701 4.847 Å, 73.74 90.00 90.00°
Fractional positions:
1 Be 0.500 0.061 0.255
2 Be 0.000 0.193 0.990
3 Mo 0.000 0.458 0.458
4 Zn 0.500 0.788 0.798

***

19.
The following is a DFT calculation (GGA-PBE) of crystalline Be2ZnMo at its relaxed geometry.

Calculated values
Space group: P4/mmm (123)
Energy of formation from the pure elements: 106 meV/atom

Cell: 2.726 2.726 6.255 Å, 90.00 90.00 90.01°
Fractional positions:
1 Be 0.000 0.000 0.519
2 Be 0.000 0.000 0.981
3 Zn 0.500 0.500 0.750
4 Mo 0.500 0.500 0.250

***

20.
The following is a DFT calculation (GGA-PBE) of crystalline Be3ZnMo at its relaxed geometry.

Calculated values
Space group: Pm-3m (221)
Energy of formation from the pure elements: 1350 meV/atom

Cell: 4.293 4.293 4.293 Å, 90.00 90.00 90.00°
Fractional positions:
1 Mo 0.000 0.000 0.000
2 Be 0.000 0.000 0.500
3 Be 0.000 0.500 0.000
4 Be 0.500 0.000 0.000
5 Zn 0.500 0.500 0.500